No. 1
{
  "formula": "Pm12DyGe6",
  "functional": "PBE",
  "state": "relaxed",
  "lattice_angstrom": [[-3.5530, -5.9425, 5.2367], [4.7842, -4.6970, -5.5145], [5.8910, 3.9273, 5.0232]],
  "species": ["Pm", "Pm", "Pm", "Pm", "Dy", "Ge", "Ge", "Ge", "Pm", "Pm", "Ge", "Ge", "Pm", "Pm", "Ge", "Pm", "Pm", "Pm", "Pm"],
  "fractional_positions": [[0.8764, 0.1236, 0.5000], [0.8247, 0.5610, 0.5610], [0.5000, 0.1236, 0.8764], [0.1753, 0.4390, 0.4390], [0.0000, 0.0000, 0.0000], [0.7493, 0.3026, 0.7493], [0.7493, 0.7493, 0.3026], [0.6974, 0.2507, 0.2507], [0.4390, 0.1753, 0.4390], [0.1236, 0.8764, 0.5000], [0.2507, 0.2507, 0.6974], [0.3026, 0.7493, 0.7493], [0.5610, 0.8247, 0.5610], [0.5610, 0.5610, 0.8247], [0.2507, 0.6974, 0.2507], [0.8764, 0.5000, 0.1236], [0.5000, 0.8764, 0.1236], [0.1236, 0.5000, 0.8764], [0.4390, 0.4390, 0.1753]],
  "formation_energy_ev_per_atom": -0.399,
  "space_group": "R-3m, No. 166",
  "vol_a3_per_atom": 30.84
}

=====

No. 2
{
  "formula": "Pm6DyGe4",
  "functional": "PBE",
  "state": "relaxed",
  "lattice_angstrom": [[-2.4003, 3.2814, -0.2386], [-5.7686, -3.7637, 6.2706], [7.0688, 5.3753, 2.8110]],
  "species": ["Ge", "Pm", "Pm", "Ge", "Pm", "Pm", "Ge", "Pm", "Dy", "Ge", "Pm"],
  "fractional_positions": [[0.5000, 0.3237, 0.1618], [0.5000, 0.6089, 0.8045], [0.0000, 0.5416, 0.0832], [0.5000, 0.8382, 0.1618], [0.0000, 0.5416, 0.4584], [0.5000, 0.1955, 0.3911], [0.0000, 0.3333, 0.6667], [0.5000, 0.1955, 0.8045], [0.0000, 0.0000, 0.0000], [0.5000, 0.8382, 0.6763], [0.0000, 0.9168, 0.4584]],
  "formation_energy_ev_per_atom": -0.563,
  "space_group": "P-6m2, No. 187",
  "vol_a3_per_atom": 27.82
}

=====

No. 3
{
  "formula": "Pm2Dy2Ge3",
  "functional": "PBE",
  "state": "relaxed",
  "lattice_angstrom": [[-0.6465, -4.0671, 0.7235], [6.3460, -0.2375, 4.3359], [-4.2800, 3.5687, 4.1546]],
  "species": ["Ge", "Dy", "Dy", "Ge", "Ge", "Pm", "Pm"],
  "fractional_positions": [[0.2329, 0.7372, 0.4657], [0.3682, 0.0975, 0.7365], [0.6318, 0.9025, 0.2635], [0.7671, 0.2628, 0.5343], [0.0000, 0.0000, 0.0000], [0.1314, 0.3582, 0.2629], [0.8686, 0.6418, 0.7371]],
  "formation_energy_ev_per_atom": -0.606,
  "space_group": "C2/m, No. 12",
  "vol_a3_per_atom": 29.86
}

=====

No. 4
{
  "formula": "Pm2DyGe2",
  "functional": "PBE",
  "state": "relaxed",
  "lattice_angstrom": [[4.3712, 0.0000, 0.0000], [0.0000, 7.6937, 0.0000], [0.0000, 0.0000, 7.6937]],
  "species": ["Ge", "Pm", "Pm", "Pm", "Pm", "Dy", "Dy", "Ge", "Ge", "Ge"],
  "fractional_positions": [[0.0000, 0.6227, 0.1227], [0.5000, 0.3258, 0.1742], [0.5000, 0.6742, 0.8258], [0.5000, 0.8258, 0.3258], [0.5000, 0.1742, 0.6742], [0.0000, 0.0000, 0.0000], [0.0000, 0.5000, 0.5000], [0.0000, 0.1227, 0.3773], [0.0000, 0.3773, 0.8773], [0.0000, 0.8773, 0.6227]],
  "formation_energy_ev_per_atom": -0.785,
  "de_polymorph_ev_per_atom": 0.0000,
  "space_group": "P4/mbm, No. 127",
  "vol_a3_per_atom": 25.87
}

=====

No. 5
{
  "formula": "PmDyGe",
  "functional": "PBE",
  "state": "relaxed",
  "lattice_angstrom": [[4.9557, 0.0000, 0.0000], [2.4779, 4.2918, 0.0000], [2.4779, 1.4306, 4.0463]],
  "species": ["Pm", "Dy", "Ge"],
  "fractional_positions": [[0.5000, 0.5000, 0.5000], [0.0000, 0.0000, 0.0000], [0.2500, 0.2500, 0.2500]],
  "formation_energy_ev_per_atom": -0.536,
  "de_polymorph_ev_per_atom": 0.0657,
  "space_group": "F-43m, No. 216",
  "vol_a3_per_atom": 28.69
}

=====

No. 6
{
  "formula": "Pm2Dy3Ge4",
  "functional": "PBE",
  "state": "relaxed",
  "lattice_angstrom": [[7.6673, -0.2027, 0.0000], [-2.7184, 7.5013, 0.0000], [0.0000, 0.0000, 7.8725]],
  "species": ["Dy", "Ge", "Dy", "Pm", "Ge", "Dy", "Dy", "Dy", "Ge", "Pm", "Ge", "Ge", "Ge", "Ge", "Pm", "Dy", "Ge", "Pm"],
  "fractional_positions": [[0.0000, 0.5000, 0.5000], [0.8319, 0.0870, 0.5380], [0.5000, 0.5000, 0.0000], [0.4342, 0.8029, 0.6808], [0.3319, 0.0870, 0.9620], [0.2670, 0.7605, 0.1645], [0.7330, 0.2395, 0.8355], [0.7670, 0.7605, 0.3355], [0.6294, 0.5075, 0.6301], [0.5658, 0.1971, 0.3192], [0.1681, 0.9130, 0.4620], [0.1294, 0.5075, 0.8699], [0.6681, 0.9130, 0.0380], [0.3706, 0.4925, 0.3699], [0.0658, 0.1971, 0.1808], [0.2330, 0.2395, 0.6645], [0.8706, 0.4925, 0.1301], [0.9342, 0.8029, 0.8192]],
  "formation_energy_ev_per_atom": -0.875,
  "space_group": "P2_1/c, No. 14",
  "vol_a3_per_atom": 24.91
}

=====

No. 7
{
  "formula": "Pm4DyGe4",
  "functional": "PBE",
  "state": "relaxed",
  "lattice_angstrom": [[6.0497, 0.0000, 0.0000], [0.0000, 9.0819, 0.0000], [0.0000, 0.0000, 9.0819]],
  "species": ["Ge", "Pm", "Pm", "Pm", "Ge", "Pm", "Ge", "Ge", "Pm", "Ge", "Pm", "Dy", "Ge", "Pm", "Pm", "Dy", "Ge", "Ge"],
  "fractional_positions": [[0.6366, 0.2332, 0.6214], [0.8727, 0.4195, 0.1979], [0.8727, 0.5805, 0.8021], [0.1273, 0.1979, 0.5805], [0.1366, 0.8786, 0.7332], [0.6273, 0.0805, 0.3021], [0.8634, 0.2668, 0.8786], [0.1366, 0.1214, 0.2668], [0.6273, 0.9195, 0.6979], [0.3634, 0.3786, 0.2332], [0.3727, 0.6979, 0.0805], [0.0000, 0.0000, 0.0000], [0.8634, 0.7332, 0.1214], [0.1273, 0.8021, 0.4195], [0.3727, 0.3021, 0.9195], [0.5000, 0.5000, 0.5000], [0.3634, 0.6214, 0.7668], [0.6366, 0.7668, 0.3786]],
  "formation_energy_ev_per_atom": -0.595,
  "space_group": "P4_2/n, No. 86",
  "vol_a3_per_atom": 27.72
}

=====

No. 8
{
  "formula": "Pm5DyGe5",
  "functional": "PBE",
  "state": "relaxed",
  "lattice_angstrom": [[5.9692, 0.0000, 0.0000], [-2.9846, 6.7684, -0.0046], [0.0000, -2.5414, 7.8937]],
  "species": ["Pm", "Ge", "Ge", "Dy", "Pm", "Ge", "Ge", "Pm", "Pm", "Ge", "Pm"],
  "fractional_positions": [[0.6699, 0.3398, 0.8389], [0.1604, 0.3208, 0.8296], [0.1631, 0.3262, 0.3327], [0.0000, 0.0000, 0.0000], [0.6711, 0.3421, 0.3308], [0.8369, 0.6738, 0.6673], [0.8396, 0.6792, 0.1704], [0.0000, 0.0000, 0.5000], [0.3301, 0.6602, 0.1611], [0.5000, 0.0000, 0.0000], [0.3289, 0.6579, 0.6692]],
  "formation_energy_ev_per_atom": -0.629,
  "space_group": "C2/m, No. 12",
  "vol_a3_per_atom": 28.99
}

=====

No. 9
{
  "formula": "Pm2DyGe3",
  "functional": "PBE",
  "state": "relaxed",
  "lattice_angstrom": [[4.2450, 0.0000, 0.0000], [0.0000, 5.9691, 0.0000], [-2.1225, -2.9846, 6.3052]],
  "species": ["Pm", "Ge", "Pm", "Dy", "Ge", "Ge"],
  "fractional_positions": [[0.6684, 0.1684, 0.3368], [0.6617, 0.6617, 0.3234], [0.3316, 0.8316, 0.6632], [0.0000, 0.5000, 0.0000], [0.0000, 0.0000, 0.0000], [0.3383, 0.3383, 0.6766]],
  "formation_energy_ev_per_atom": -0.658,
  "space_group": "Immm, No. 71",
  "vol_a3_per_atom": 26.63
}

=====

No. 10
{
  "formula": "Pm2DyGe2",
  "functional": "PBE",
  "state": "relaxed",
  "lattice_angstrom": [[-1.9402, -2.9010, 3.6417], [1.0556, -5.1050, -3.5043], [7.9268, -0.8173, 3.5721]],
  "species": ["Dy", "Pm", "Pm", "Ge", "Ge", "Ge", "Pm", "Dy", "Ge", "Pm"],
  "fractional_positions": [[0.2500, 0.0002, 0.2503], [0.2500, 0.6907, 0.9168], [0.2500, 0.3100, 0.5835], [0.2500, 0.7978, 0.5833], [0.7500, 0.2022, 0.4167], [0.7500, 0.7975, 0.0833], [0.7500, 0.6900, 0.4165], [0.7500, 0.9998, 0.7497], [0.2500, 0.2025, 0.9167], [0.7500, 0.3093, 0.0832]],
  "formation_energy_ev_per_atom": -0.647,
  "de_polymorph_ev_per_atom": 0.1372,
  "space_group": "P2_1/m, No. 11",
  "vol_a3_per_atom": 27.67
}

=====

No. 11
{
  "formula": "Pm2DyGe",
  "functional": "PBE",
  "state": "relaxed",
  "lattice_angstrom": [[-2.8109, 0.7089, -5.7498], [6.5976, -3.7482, -3.6875], [-7.2637, -6.0508, 2.8050]],
  "species": ["Pm", "Pm", "Pm", "Pm", "Pm", "Pm", "Ge", "Dy", "Dy", "Ge", "Pm", "Dy", "Pm", "Ge", "Ge", "Dy"],
  "fractional_positions": [[0.7500, 0.0584, 0.1168], [0.2500, 0.9416, 0.8832], [0.7500, 0.5584, 0.1168], [0.2500, 0.4416, 0.8832], [0.2499, 0.8634, 0.2272], [0.7499, 0.6366, 0.7728], [0.7502, 0.9284, 0.3568], [0.5000, 0.2499, 0.5000], [0.0000, 0.7499, 0.5000], [0.2498, 0.0716, 0.6432], [0.2501, 0.3634, 0.2272], [0.0000, 0.2501, 0.5000], [0.7501, 0.1366, 0.7728], [0.2502, 0.5716, 0.6432], [0.7498, 0.4284, 0.3568], [0.5000, 0.7501, 0.5000]],
  "formation_energy_ev_per_atom": -0.422,
  "de_polymorph_ev_per_atom": 0.0000,
  "space_group": "Pmma, No. 51",
  "vol_a3_per_atom": 30.26
}

=====

No. 12
{
  "formula": "PmDy2Ge",
  "functional": "PBE",
  "state": "relaxed",
  "lattice_angstrom": [[-2.1180, 3.0199, -1.1202], [-3.1666, -1.7071, 1.3853], [1.1190, 3.1932, 6.4929]],
  "species": ["Pm", "Ge", "Dy", "Dy"],
  "fractional_positions": [[0.5000, 0.5000, 0.0000], [0.5000, 0.5000, 0.5000], [0.0000, 0.0000, 0.2997], [0.0000, 0.0000, 0.7003]],
  "formation_energy_ev_per_atom": -0.306,
  "de_polymorph_ev_per_atom": 0.1396,
  "space_group": "P4/mmm, No. 123",
  "vol_a3_per_atom": 27.20
}

=====

No. 13
{
  "formula": "Pm3Dy2Ge4",
  "functional": "PBE",
  "state": "relaxed",
  "lattice_angstrom": [[-2.6069, -4.0463, 6.0461], [-1.7734, -2.2685, -8.3757], [6.5397, -4.4723, -0.1734]],
  "species": ["Dy", "Ge", "Ge", "Pm", "Ge", "Ge", "Dy", "Pm", "Dy", "Pm", "Ge", "Ge", "Pm", "Pm", "Dy", "Ge", "Pm", "Ge"],
  "fractional_positions": [[0.5072, 0.2382, 0.3351], [0.6178, 0.4928, 0.6272], [0.1178, 0.4928, 0.8728], [0.1307, 0.1977, 0.6814], [0.7550, 0.0837, 0.4610], [0.3822, 0.5072, 0.3728], [0.4928, 0.7618, 0.6649], [0.8693, 0.8023, 0.3186], [0.9928, 0.7618, 0.8351], [0.5000, 0.5000, 0.0000], [0.7450, 0.9163, 0.9610], [0.8822, 0.5072, 0.1272], [0.6307, 0.1977, 0.8186], [0.0000, 0.5000, 0.5000], [0.0072, 0.2382, 0.1649], [0.2550, 0.0837, 0.0390], [0.3693, 0.8023, 0.1814], [0.2450, 0.9163, 0.5390]],
  "formation_energy_ev_per_atom": -0.847,
  "de_polymorph_ev_per_atom": 0.0000,
  "space_group": "P2_1/c, No. 14",
  "vol_a3_per_atom": 25.40
}

=====

No. 14
{
  "formula": "PmDy2Ge2",
  "functional": "PBE",
  "state": "relaxed",
  "lattice_angstrom": [[4.5022, 0.0000, 0.0000], [0.0000, 6.2942, 0.0000], [-2.2511, 0.0000, 9.2514]],
  "species": ["Dy", "Ge", "Dy", "Ge", "Dy", "Dy", "Pm", "Ge", "Pm", "Ge"],
  "fractional_positions": [[0.0085, 0.2627, 0.0170], [0.2062, 0.0534, 0.4124], [0.9915, 0.7627, 0.9830], [0.4292, 0.0167, 0.8585], [0.1863, 0.5302, 0.3727], [0.8137, 0.0302, 0.6273], [0.3871, 0.5026, 0.7741], [0.7938, 0.5534, 0.5876], [0.6129, 0.0026, 0.2259], [0.5708, 0.5167, 0.1415]],
  "formation_energy_ev_per_atom": -0.672,
  "space_group": "Cmc2_1, No. 36",
  "vol_a3_per_atom": 26.22
}

=====

No. 15
{
  "formula": "Pm2DyGe",
  "functional": "PBE",
  "state": "relaxed",
  "lattice_angstrom": [[-2.6689, 3.2462, -2.2858], [-3.7397, -2.8722, 0.2876], [-1.1772, 1.9473, 4.1400]],
  "species": ["Dy", "Ge", "Pm", "Pm"],
  "fractional_positions": [[0.5000, 0.5000, 0.5000], [0.5000, 0.0000, 0.0000], [0.0000, 0.5000, 0.0000], [0.0000, 0.0000, 0.5000]],
  "formation_energy_ev_per_atom": -0.336,
  "de_polymorph_ev_per_atom": 0.0862,
  "space_group": "P4/mmm, No. 123",
  "vol_a3_per_atom": 26.69
}

=====

No. 16
{
  "formula": "PmDy2Ge",
  "functional": "PBE",
  "state": "relaxed",
  "lattice_angstrom": [[3.7141, 0.0000, 0.0000], [1.8571, 3.2165, 0.0000], [1.8571, 1.0722, 9.9359]],
  "species": ["Dy", "Ge", "Dy", "Pm"],
  "fractional_positions": [[0.2679, 0.2679, 0.1962], [0.0000, 0.0000, 0.0000], [0.7321, 0.7321, 0.8038], [0.5000, 0.5000, 0.5000]],
  "formation_energy_ev_per_atom": -0.239,
  "de_polymorph_ev_per_atom": 0.2066,
  "space_group": "R-3m, No. 166",
  "vol_a3_per_atom": 29.67
}

=====

No. 17
{
  "formula": "PmDyGe4",
  "functional": "PBE",
  "state": "relaxed",
  "lattice_angstrom": [[-2.9641, -4.6680, 1.2583], [-0.3530, -4.2332, -3.7569], [2.6955, -4.8923, 0.9793]],
  "species": ["Dy", "Ge", "Ge", "Ge", "Ge", "Pm"],
  "fractional_positions": [[0.2500, 0.2500, 0.2500], [0.6240, 0.6240, 0.1280], [0.6240, 0.6240, 0.6240], [0.1280, 0.6240, 0.6240], [0.6240, 0.1280, 0.6240], [0.0000, 0.0000, 0.0000]],
  "formation_energy_ev_per_atom": -0.335,
  "space_group": "F-43m, No. 216",
  "vol_a3_per_atom": 21.49
}

=====

No. 18
{
  "formula": "Pm2DyGe",
  "functional": "PBE",
  "state": "relaxed",
  "lattice_angstrom": [[-0.7086, -4.0273, 0.0455], [0.5164, -0.1366, -4.0544], [6.5013, -1.1342, 0.8663]],
  "species": ["Pm", "Pm", "Ge", "Dy"],
  "fractional_positions": [[0.0000, 0.0000, 0.7793], [0.0000, 0.0000, 0.2207], [0.5000, 0.5000, 0.0000], [0.5000, 0.5000, 0.5000]],
  "formation_energy_ev_per_atom": -0.315,
  "de_polymorph_ev_per_atom": 0.1071,
  "space_group": "P4/mmm, No. 123",
  "vol_a3_per_atom": 27.83
}

=====

No. 19
{
  "formula": "Pm5DyGe3",
  "functional": "PBE",
  "state": "relaxed",
  "lattice_angstrom": [[-4.0117, 3.7359, -3.5162], [-6.0340, -6.8602, -0.4045], [-0.3911, 6.0353, 6.8585]],
  "species": ["Pm", "Pm", "Pm", "Ge", "Pm", "Ge", "Pm", "Dy", "Pm", "Ge", "Pm", "Ge", "Ge", "Ge", "Pm", "Pm", "Pm", "Dy"],
  "fractional_positions": [[0.2500, 0.0000, 0.6679], [0.2500, 0.6679, 0.0000], [0.7500, 0.6678, 0.6679], [0.7500, 0.3319, 0.3319], [0.7500, 0.0000, 0.3321], [0.2500, 0.0000, 0.3319], [0.7500, 0.3321, 0.0000], [0.0000, 0.0000, 0.0000], [0.5000, 0.3333, 0.6667], [0.7500, 0.6680, 0.0000], [0.0000, 0.3333, 0.6667], [0.2500, 0.3320, 0.0000], [0.2500, 0.6681, 0.6681], [0.7500, 0.0000, 0.6681], [0.2500, 0.3322, 0.3321], [0.5000, 0.6667, 0.3333], [0.0000, 0.6667, 0.3333], [0.5000, 0.0000, 0.0000]],
  "formation_energy_ev_per_atom": -0.515,
  "space_group": "P6_3/mcm, No. 193",
  "vol_a3_per_atom": 26.20
}

=====

No. 20
{
  "formula": "Pm4DyGe5",
  "functional": "PBE",
  "state": "relaxed",
  "lattice_angstrom": [[-0.4631, 4.9576, -3.3238], [-4.2877, 5.1861, 2.9413], [5.0835, 5.0869, 1.4876]],
  "species": ["Pm", "Dy", "Pm", "Ge", "Pm", "Ge", "Ge", "Ge", "Pm", "Ge"],
  "fractional_positions": [[0.2011, 0.2016, 0.3983], [0.0011, 0.0000, 0.0000], [0.5994, 0.6017, 0.2016], [0.2971, 0.8031, 0.6047], [0.8009, 0.7984, 0.6017], [0.9018, 0.3953, 0.8031], [0.1002, 0.6047, 0.1969], [0.7049, 0.1969, 0.3953], [0.4027, 0.3983, 0.7984], [0.5011, 0.0000, 0.0000]],
  "formation_energy_ev_per_atom": -0.663,
  "space_group": "I4/m, No. 87",
  "vol_a3_per_atom": 26.92
}